Record 1
Here is BiBF2 at its PBEsol-relaxed geometry from the Alexandria database. Energies are from SCAN.

a b c (Å): 6.006 6.006 6.006
angles (deg): 90.00 90.00 90.00
Space group Fm-3m (No. 225)
Symmetry-distinct sites (fractional):
Bi: 0.000 0.000 0.000 x4
B: 0.000 0.000 0.500 x4
F: 0.250 0.250 0.250 x8

Electronic total energy: -23.2923 eV per atom
E above lowest polymorph: 0.63 eV/f.u.
ΔE_f (raw): -0.020 eV per atom



Record 2
Here is BiBF2 at its PBEsol-relaxed geometry from the Alexandria database. Energies are from SCAN.

a b c (Å): 3.3761 3.3761 20.9294
angles (deg): 90.00 90.00 120.00
Space group R-3m (No. 166, hexagonal axes)
Symmetry-distinct sites (fractional):
Bi: 0.0000 0.0000 0.0000 x3
B: 0.0000 0.0000 0.5000 x3
F: 0.0000 0.0000 0.1097 x6

Electronic total energy: -23.4502 eV per atom
E above lowest polymorph: 0.00 eV/f.u.
ΔE_f (raw): -0.178 eV per atom



Record 3
Here is Hg2BiBF at its PBEsol-relaxed geometry from the Alexandria database. Energies are from SCAN.

a b c (Å): 5.070 5.070 4.549
angles (deg): 90.00 90.00 90.00
Space group P4/mmm (No. 123)
Symmetry-distinct sites (fractional):
Hg: 0.000 0.500 0.000 x2
Bi: 0.000 0.000 0.500 x1
B: 0.500 0.500 0.500 x1
F: 0.000 0.000 0.000 x1

Electronic total energy: -44.4509 eV per atom
ΔE_f (raw): 0.725 eV per atom



Record 4
Here is BiBOF2 at its PBEsol-relaxed geometry from the Alexandria database. Energies are from SCAN.

a b c (Å): 4.736 4.736 2.725
angles (deg): 90.00 90.00 90.00
Space group P4/mmm (No. 123)
Symmetry-distinct sites (fractional):
Bi: 0.000 0.000 0.000 x1
B: 0.500 0.500 0.500 x1
O: 0.500 0.500 0.000 x1
F: 0.000 0.500 0.500 x2

Electronic total energy: -21.0219 eV per atom
ΔE_f (raw): -1.158 eV per atom



Record 5
Here is FeBiB2 at its PBEsol-relaxed geometry from the Alexandria database. Energies are from SCAN.

a b c (Å): 3.789 3.789 14.239
angles (deg): 90.00 90.00 90.00
Space group I4_1/amd (No. 141, origin choice 2)
Symmetry-distinct sites (fractional):
Fe: 0.000 0.250 0.375 x4
Bi: 0.000 0.250 0.875 x4
B: 0.000 0.000 0.500 x8

Electronic total energy: -27.2173 eV per atom
ΔE_f: 0.67 eV per atom



Record 6
Here is GeBiB3 at its PBEsol-relaxed geometry from the Alexandria database. Energies are from SCAN.

a b c (Å): 4.216 4.216 4.216
angles (deg): 90.00 90.00 90.00
Space group Pm-3m (No. 221)
Symmetry-distinct sites (fractional):
Ge: 0.000 0.000 0.000 x1
Bi: 0.500 0.500 0.500 x1
B: 0.000 0.000 0.500 x3

Electronic total energy: -22.2133 eV per atom
ΔE_f: 1.78 eV per atom